DFT (PBE with a Hubbard U) results for a geometry-optimized KDyMnO3 structure.

```
data_KDyMnO3
_space_group_name_H-M_alt 'C m c m'
_space_group_IT_number 63
_space_group_name_Hall '-C 2c 2'
_cell_length_a 3.5759
_cell_length_b 13.5186
_cell_length_c 9.1672
_cell_angle_alpha 90.00
_cell_angle_beta 90.00
_cell_angle_gamma 90.00
loop_
_atom_site_label
_atom_site_fract_x
_atom_site_fract_y
_atom_site_fract_z
_atom_site_occupancy
K1 0.0000 0.1825 0.2500 1
Dy1 0.0000 0.5000 0.0000 1
Mn1 0.0000 0.0825 0.7500 1
O1 0.0000 0.1054 0.5375 1
O2 0.0000 0.4832 0.7500 1
```

Computed properties:
The value obtained for the magnetization is 20.00 μB/cell. As for the crystal system: orthorhombic. The final energy comes out at -6.922 eV per atom.